First-principles (PBE-GGA) data for an optimized crystal structure of CaMg2Te2, as listed in Alexandria. Values from VASP.

Quantum ESPRESSO input file:
```
&SYSTEM
  ibrav = 0, nat = 10, ntyp = 3
/
ATOMIC_SPECIES
Ca 40.08 Ca.upf
Mg 24.30 Mg.upf
Te 127.60 Te.upf
CELL_PARAMETERS angstrom
4.2157 0.0000 0.0000
0.0000 4.2157 0.0000
0.0000 0.0000 16.0417
ATOMIC_POSITIONS angstrom
Ca 0.0000 0.0000 0.0000
Ca 2.1079 2.1079 8.0208
Mg 0.0000 2.1079 4.0104
Mg 0.0000 2.1079 12.0313
Mg 2.1079 0.0000 4.0104
Mg 2.1079 0.0000 12.0313
Te 0.0000 0.0000 6.3267
Te 0.0000 0.0000 9.7150
Te 2.1079 2.1079 1.6941
Te 2.1079 2.1079 14.3475
```

As for the crystal system: tetragonal. For the calculated total energy, the calculation gives -2.8806 eV/atom. As for the calculated density: 4.01 Mg/m³. Its volume is 28.510 A^3/atom. The density of states at the Fermi level comes out at 0.31 states/eV per atom. The uncorrected formation energy comes out at -0.59 eV per atom. The energy relative to the lowest polymorph listed for this composition is 5.2 kJ per mole of atoms. The total magnetization comes out at 0.00 μB/cell.

***

First-principles (PBE-GGA) data for an optimized crystal structure of BeCo4Br, as listed in Alexandria. Values from VASP.

Quantum ESPRESSO input file:
```
&SYSTEM
  ibrav = 0, nat = 6, ntyp = 3
/
ATOMIC_SPECIES
Be 9.01 Be.upf
Co 58.93 Co.upf
Br 79.90 Br.upf
CELL_PARAMETERS angstrom
0.0000 3.3996 3.3996
3.3996 0.0000 3.3996
3.3996 3.3996 0.0000
ATOMIC_POSITIONS angstrom
Be 0.0000 0.0000 0.0000
Co 2.5447 2.5447 2.5447
Co 4.2546 4.2546 2.5447
Co 4.2546 2.5447 4.2546
Co 2.5447 4.2546 4.2546
Br 5.0995 5.0995 5.0995
```

As for the crystal system: cubic. For the calculated total energy, the calculation gives -4.9211 eV/atom. As for the calculated density: 6.86 Mg/m³. Its volume is 13.097 A^3/atom. The density of states at the Fermi level comes out at 1.11 states/eV per atom. The uncorrected formation energy comes out at 0.72 eV per atom. The total magnetization comes out at 6.83 μB/cell.

***

First-principles (PBE-GGA) data for an optimized crystal structure of Ac12Sm7Th, as listed in Alexandria. Values from VASP.

Quantum ESPRESSO input file:
```
&SYSTEM
  ibrav = 0, nat = 20, ntyp = 3
/
ATOMIC_SPECIES
Ac 227.00 Ac.upf
Sm 150.36 Sm.upf
Th 232.04 Th.upf
CELL_PARAMETERS angstrom
10.4527 6.0349 2.2179
-10.4527 6.0349 2.2179
0.0000 -12.0697 2.2179
ATOMIC_POSITIONS angstrom
Ac -4.3077 -4.5996 2.2194
Ac 4.3077 4.5996 4.4343
Ac -0.0074 -4.1866 1.2337
Ac -3.6220 2.0997 1.2337
Ac -6.1373 1.4308 4.4343
Ac -1.8295 6.0304 2.2194
Ac 3.6294 2.0869 1.2337
Ac -3.6294 -2.0869 5.4200
Ac 1.8295 -6.0304 4.4343
Ac 6.1373 -1.4308 2.2194
Ac 3.6220 -2.0997 5.4200
Ac 0.0074 4.1866 5.4200
Sm 0.0000 0.0000 0.0000
Sm -2.5477 -1.4612 2.0549
Sm 2.5393 -1.4758 2.0549
Sm 0.0084 2.9370 2.0549
Sm -0.0084 -2.9370 4.5988
Sm -2.5393 1.4757 4.5988
Sm 2.5477 1.4612 4.5988
Th 0.0000 0.0000 3.3269
```

As for the crystal system: trigonal. For the calculated total energy, the calculation gives -4.2642 eV/atom. As for the calculated density: 7.93 Mg/m³. The formation energy from the elements comes out at 0.224 eV/atom. Its volume is 41.972 A^3/atom. The density of states at the Fermi level comes out at 1.55 states/eV per atom. The total magnetization comes out at 0.00 μB/cell.

***

First-principles (PBE-GGA) data for an optimized crystal structure of LiPmPt2, as listed in Alexandria. Values from VASP.

Quantum ESPRESSO input file:
```
&SYSTEM
  ibrav = 0, nat = 4, ntyp = 3
/
ATOMIC_SPECIES
Li 6.94 Li.upf
Pm 145.00 Pm.upf
Pt 195.08 Pt.upf
CELL_PARAMETERS angstrom
4.2932 0.0000 0.0000
0.0000 4.2932 0.0000
0.0000 0.0000 4.0020
ATOMIC_POSITIONS angstrom
Li 0.0000 0.0000 0.0000
Pm 2.1466 2.1466 0.0000
Pt 0.0000 2.1466 2.0010
Pt 2.1466 0.0000 2.0010
```

As for the crystal system: tetragonal. For the calculated total energy, the calculation gives -5.5198 eV/atom. As for the calculated density: 12.20 Mg/m³. The formation energy from the elements comes out at -0.833 eV/atom. Its volume is 18.441 A^3/atom. The density of states at the Fermi level comes out at 0.31 states/eV per atom. The energy relative to the lowest polymorph listed for this composition is 5.3 kJ per mole of atoms. The total magnetization comes out at 0.00 μB/cell.

***

- Which of these has the highest calculated density?
  LiPmPt2

***

- Which value of calculated density does entry 3 give?
  7.93 Mg/m³

***

- Look up the calculated total energy of the fourth one.
  -5.5198 eV/atom

***

Copy entry 4 word for word.
First-principles (PBE-GGA) data for an optimized crystal structure of LiPmPt2, as listed in Alexandria. Values from VASP.

Quantum ESPRESSO input file:
```
&SYSTEM
  ibrav = 0, nat = 4, ntyp = 3
/
ATOMIC_SPECIES
Li 6.94 Li.upf
Pm 145.00 Pm.upf
Pt 195.08 Pt.upf
CELL_PARAMETERS angstrom
4.2932 0.0000 0.0000
0.0000 4.2932 0.0000
0.0000 0.0000 4.0020
ATOMIC_POSITIONS angstrom
Li 0.0000 0.0000 0.0000
Pm 2.1466 2.1466 0.0000
Pt 0.0000 2.1466 2.0010
Pt 2.1466 0.0000 2.0010
```

As for the crystal system: tetragonal. For the calculated total energy, the calculation gives -5.5198 eV/atom. As for the calculated density: 12.20 Mg/m³. The formation energy from the elements comes out at -0.833 eV/atom. Its volume is 18.441 A^3/atom. The density of states at the Fermi level comes out at 0.31 states/eV per atom. The energy relative to the lowest polymorph listed for this composition is 5.3 kJ per mole of atoms. The total magnetization comes out at 0.00 μB/cell.